Entry 1:
A plane-wave DFT calculation with PBE was carried out for KY2Cu2 after structural relaxation.

The calculation puts the total energy at -4.2984 eV per atom. Its crystal system is tetragonal. The calculated density comes out at 4.42 g/cm3.

The structure belongs to space group P4/mbm (No. 127); the cell edges are 8.4474, 8.4474 and 3.6184 Å and the angles 90.00°, 90.00° and 90.00°. The asymmetric unit holds K at (0.0000, 0.0000, 0.0000), Y at (0.1480, 0.3520, 0.5000) and Cu at (0.1233, 0.6233, 0.0000).


Entry 2:
A plane-wave DFT calculation with PBE was carried out for KYCu after structural relaxation.

The calculation puts the total energy at -3.6801 eV per atom. Its crystal system is tetragonal. The calculated density comes out at 3.30 g/cm3.

The structure belongs to space group I4mm (No. 107); the cell edges are 3.6305, 3.6305 and 14.6097 Å and the angles 90.00°, 90.00° and 90.00°. The asymmetric unit holds K at (0.0000, 0.0000, 0.0000), Y at (0.0000, 0.0000, 0.7434) and Cu at (0.0000, 0.0000, 0.3313).


Entry 3:
A plane-wave DFT calculation with PBE was carried out for K4YCu after structural relaxation.

The calculation puts the total energy at -1.7062 eV per atom. Its crystal system is cubic. The calculated density comes out at 1.74 g/cm3.

The structure belongs to space group F-43m (No. 216); the cell edges are 10.5625, 10.5625 and 10.5625 Å and the angles 90.00°, 90.00° and 90.00°. The asymmetric unit holds K at (0.1243, 0.1243, 0.3757), Y at (0.0000, 0.0000, 0.0000) and Cu at (0.2500, 0.2500, 0.7500).


Entry 4:
A plane-wave DFT calculation with PBE was carried out for K3YCu after structural relaxation.

Its energy above the lowest structure with this stoichiometry is 510.2 meV per atom. Its crystal system is cubic. The calculated density comes out at 1.13 g/cm3.

The structure belongs to space group Pm-3m (No. 221); the cell edges are 7.3429, 7.3429 and 7.3429 Å and the angles 90.00°, 90.00° and 90.00°. The asymmetric unit holds K at (0.0000, 0.0000, 0.5000), Y at (0.0000, 0.0000, 0.0000) and Cu at (0.5000, 0.5000, 0.5000).


Entry 5:
A plane-wave DFT calculation with PBE was carried out for KYCu after structural relaxation.

The calculation puts the total energy at -3.3057 eV per atom. Its crystal system is cubic. The calculated density comes out at 3.37 g/cm3.

The structure belongs to space group F-43m (No. 216); the cell edges are 7.2264, 7.2264 and 7.2264 Å and the angles 90.00°, 90.00° and 90.00°. The asymmetric unit holds K at (0.0000, 0.0000, 0.0000), Y at (0.0000, 0.0000, 0.5000) and Cu at (0.2500, 0.2500, 0.2500).


Entry 6:
A plane-wave DFT calculation with PBE was carried out for KY4Cu after structural relaxation.

The calculation puts the total energy at -4.4388 eV per atom. Its crystal system is cubic. The calculated density comes out at 3.66 g/cm3.

The structure belongs to space group F-43m (No. 216); the cell edges are 9.4043, 9.4043 and 9.4043 Å and the angles 90.00°, 90.00° and 90.00°. The asymmetric unit holds K at (0.0000, 0.0000, 0.0000), Y at (0.1236, 0.1236, 0.6236) and Cu at (0.2500, 0.2500, 0.2500).


Entry 7:
A plane-wave DFT calculation with PBE was carried out for KYCu after structural relaxation.

The calculation puts the total energy at -3.5678 eV per atom. Its crystal system is trigonal. The calculated density comes out at 3.07 g/cm3.

The structure belongs to space group P3m1 (No. 156); the cell edges are 3.8857, 3.8857 and 7.9285 Å and the angles 90.00°, 90.00° and 120.00°. The asymmetric unit holds K at (0.0000, 0.0000, 0.0000), Y at (0.6667, 0.3333, 0.4792) and Cu at (0.3333, 0.6667, 0.6827).


Entry 8:
A plane-wave DFT calculation with PBE was carried out for K3YCu after structural relaxation.

Its energy above the lowest structure with this stoichiometry is 0.0 meV per atom. Its crystal system is cubic. The calculated density comes out at 1.79 g/cm3.

The structure belongs to space group Pm-3m (No. 221); the cell edges are 6.2981, 6.2981 and 6.2981 Å and the angles 90.00°, 90.00° and 90.00°. The asymmetric unit holds K at (0.0000, 0.0000, 0.5000), Y at (0.5000, 0.5000, 0.5000) and Cu at (0.0000, 0.0000, 0.0000).


Entry 9:
A plane-wave DFT calculation with PBE was carried out for KYZn2Cu after structural relaxation.

The calculation puts the total energy at -1.4188 eV per atom. Its crystal system is tetragonal. The calculated density comes out at 2.93 g/cm3.

The structure belongs to space group P4/mmm (No. 123); the cell edges are 5.3450, 5.3450 and 6.3914 Å and the angles 90.00°, 90.00° and 90.00°. The asymmetric unit holds K at (0.0000, 0.0000, 0.0000), Y at (0.0000, 0.0000, 0.5000), Zn at (0.0000, 0.5000, 0.0000) and Cu at (0.5000, 0.5000, 0.5000).


Entry 10:
A plane-wave DFT calculation with PBE was carried out for KYZrCu2 after structural relaxation.

The calculation puts the total energy at -3.4219 eV per atom. Its crystal system is tetragonal. The calculated density comes out at 4.76 g/cm3.

The structure belongs to space group P4/mmm (No. 123); the cell edges are 4.8417, 4.8417 and 5.1569 Å and the angles 90.00°, 90.00° and 90.00°. The asymmetric unit holds K at (0.0000, 0.0000, 0.0000), Y at (0.0000, 0.0000, 0.5000), Zr at (0.5000, 0.5000, 0.5000) and Cu at (0.0000, 0.5000, 0.0000).


Entry 11:
A plane-wave DFT calculation with PBE was carried out for KZnCu3 after structural relaxation.

Its energy above the lowest structure with this stoichiometry is 1204.4 meV per atom. Its crystal system is cubic. The calculated density comes out at 3.43 g/cm3.

The structure belongs to space group Pm-3m (No. 221); the cell edges are 5.2286, 5.2286 and 5.2286 Å and the angles 90.00°, 90.00° and 90.00°. The asymmetric unit holds K at (0.0000, 0.0000, 0.0000), Zn at (0.5000, 0.5000, 0.5000) and Cu at (0.0000, 0.0000, 0.5000).


Entry 12:
A plane-wave DFT calculation with PBE was carried out for K2ZnCu after structural relaxation.

The calculation puts the total energy at -1.6929 eV per atom. Its crystal system is monoclinic. The calculated density comes out at 2.47 g/cm3.

The structure belongs to space group Cm (No. 8); the cell edges are 13.2015, 4.3640 and 5.2779 Å and the angles 90.00°, 113.56° and 90.00°. The asymmetric unit holds K at (0.0000, 0.0000, 0.0000), K at (0.2156, 0.0000, 0.7154), Zn at (0.4062, 0.0000, 0.4062) and Cu at (0.3157, 0.5000, 0.3147).


Entry 13:
A plane-wave DFT calculation with PBE was carried out for K2ZnCu after structural relaxation.

The calculation puts the total energy at -1.4553 eV per atom. Its crystal system is tetragonal. The calculated density comes out at 2.40 g/cm3.

The structure belongs to space group I-42d (No. 122); the cell edges are 9.1865, 9.1865 and 6.7917 Å and the angles 90.00°, 90.00° and 90.00°. The asymmetric unit holds K at (0.2253, 0.2500, 0.1250), Zn at (0.0000, 0.0000, 0.5000) and Cu at (0.0000, 0.0000, 0.0000).


Entry 14:
A plane-wave DFT calculation with PBE was carried out for K2ZnCu after structural relaxation.

The calculation puts the total energy at -1.5641 eV per atom. Its crystal system is monoclinic. The calculated density comes out at 2.55 g/cm3.

The structure belongs to space group P2/m (No. 10); the cell edges are 3.9551, 4.1965 and 8.1258 Å and the angles 90.00°, 90.10° and 90.00°. The asymmetric unit holds K at (0.0002, 0.0000, 0.2327), Zn at (0.5000, 0.5000, 0.5000) and Cu at (0.5000, 0.5000, 0.0000).


Entry 15:
A plane-wave DFT calculation with PBE was carried out for K4ZnCu after structural relaxation.

The calculation puts the total energy at -1.0814 eV per atom. Its crystal system is cubic. The calculated density comes out at 1.46 g/cm3.

The structure belongs to space group F-43m (No. 216); the cell edges are 10.9102, 10.9102 and 10.9102 Å and the angles 90.00°, 90.00° and 90.00°. The asymmetric unit holds K at (0.1244, 0.1244, 0.3756), Zn at (0.0000, 0.0000, 0.0000) and Cu at (0.2500, 0.2500, 0.7500).


Entry 16:
A plane-wave DFT calculation with PBE was carried out for KZnCu3 after structural relaxation.

Its energy above the lowest structure with this stoichiometry is 0.0 meV per atom. Its crystal system is cubic. The calculated density comes out at 4.59 g/cm3.

The structure belongs to space group Pm-3m (No. 221); the cell edges are 4.7426, 4.7426 and 4.7426 Å and the angles 90.00°, 90.00° and 90.00°. The asymmetric unit holds K at (0.0000, 0.0000, 0.0000), Zn at (0.5000, 0.5000, 0.5000) and Cu at (0.0000, 0.5000, 0.5000).


Entry 17:
A plane-wave DFT calculation with PBE was carried out for KZn3Cu after structural relaxation.

Its energy above the lowest structure with this stoichiometry is 0.0 meV per atom. Its crystal system is cubic. The calculated density comes out at 4.43 g/cm3.

The structure belongs to space group Pm-3m (No. 221); the cell edges are 4.8213, 4.8213 and 4.8213 Å and the angles 90.00°, 90.00° and 90.00°. The asymmetric unit holds K at (0.0000, 0.0000, 0.0000), Zn at (0.0000, 0.5000, 0.5000) and Cu at (0.5000, 0.5000, 0.5000).


Entry 18:
A plane-wave DFT calculation with PBE was carried out for K2ZnCu after structural relaxation.

The calculation puts the total energy at -1.4680 eV per atom. Its crystal system is trigonal. The calculated density comes out at 2.12 g/cm3.

The structure belongs to space group R-3m (No. 166, hexagonal axes); the cell edges are 4.5719, 4.5719 and 26.8323 Å and the angles 90.00°, 90.00° and 120.00°. The asymmetric unit holds K at (0.0000, 0.0000, 0.2421), Zn at (0.0000, 0.0000, 0.0000) and Cu at (0.0000, 0.0000, 0.5000).


Entry 19:
A plane-wave DFT calculation with PBE was carried out for KZn3Cu after structural relaxation.

Its energy above the lowest structure with this stoichiometry is 1008.5 meV per atom. Its crystal system is cubic. The calculated density comes out at 2.07 g/cm3.

The structure belongs to space group Pm-3m (No. 221); the cell edges are 6.2090, 6.2090 and 6.2090 Å and the angles 90.00°, 90.00° and 90.00°. The asymmetric unit holds K at (0.0000, 0.0000, 0.0000), Zn at (0.0000, 0.0000, 0.5000) and Cu at (0.5000, 0.5000, 0.5000).


Entry 20:
A plane-wave DFT calculation with PBE was carried out for K2ZnCu after structural relaxation.

The calculation puts the total energy at -1.7294 eV per atom. Its crystal system is monoclinic. The calculated density comes out at 2.46 g/cm3.

The structure belongs to space group Pm (No. 6); the cell edges are 5.1299, 4.4904 and 6.5754 Å and the angles 90.00°, 112.86° and 90.00°. The asymmetric unit holds K at (0.0000, 0.0000, 0.0000), K at (0.2943, 0.5000, 0.5893), Zn at (0.6887, 0.0000, 0.3776) and Cu at (0.6064, 0.5000, 0.2142).


Entry 21:
A plane-wave DFT calculation with PBE was carried out for K2ZnCu after structural relaxation.

The calculation puts the total energy at -1.5003 eV per atom. Its crystal system is cubic. The calculated density comes out at 2.90 g/cm3.

The structure belongs to space group F-43m (No. 216); the cell edges are 7.7975, 7.7975 and 7.7975 Å and the angles 90.00°, 90.00° and 90.00°. The asymmetric unit holds K at (0.0000, 0.0000, 0.0000), K at (0.2500, 0.2500, 0.2500), Zn at (0.0000, 0.0000, 0.5000) and Cu at (0.2500, 0.2500, 0.7500).


Entry 22:
A plane-wave DFT calculation with PBE was carried out for K2ZnCu after structural relaxation.

The calculation puts the total energy at -1.6854 eV per atom. Its crystal system is tetragonal. The calculated density comes out at 2.66 g/cm3.

The structure belongs to space group P4mm (No. 99); the cell edges are 3.5834, 3.5834 and 10.0682 Å and the angles 90.00°, 90.00° and 90.00°. The asymmetric unit holds K at (0.0000, 0.0000, 0.0000), K at (0.5000, 0.5000, 0.4141), Zn at (0.0000, 0.0000, 0.6841) and Cu at (0.5000, 0.5000, 0.7282).


Entry 23:
A plane-wave DFT calculation with PBE was carried out for K2ZnCu after structural relaxation.

The calculation puts the total energy at -1.5562 eV per atom. Its crystal system is monoclinic. The calculated density comes out at 2.54 g/cm3.

The structure belongs to space group P2/m (No. 10); the cell edges are 4.2198, 5.6699 and 5.6569 Å and the angles 90.00°, 90.13° and 90.00°. The asymmetric unit holds K at (0.0000, 0.0000, 0.0000), K at (0.0000, 0.5000, 0.5000), Zn at (0.5000, 0.0000, 0.5000) and Cu at (0.5000, 0.5000, 0.0000).


Entry 24:
A plane-wave DFT calculation with PBE was carried out for KZn2Cu2 after structural relaxation.

Its energy above the lowest structure with this stoichiometry is 0.0 meV per atom. Its crystal system is tetragonal. The calculated density comes out at 5.76 g/cm3.

The structure belongs to space group P4/mbm (No. 127); the cell edges are 8.0033, 8.0033 and 2.6747 Å and the angles 90.00°, 90.00° and 90.00°. The asymmetric unit holds K at (0.0000, 0.0000, 0.0000), Zn at (0.1228, 0.3772, 0.5000) and Cu at (0.1666, 0.6666, 0.0000).


Entry 25:
A plane-wave DFT calculation with PBE was carried out for KZn2Cu2 after structural relaxation.

Its energy above the lowest structure with this stoichiometry is 20.5 meV per atom. Its crystal system is tetragonal. The calculated density comes out at 4.93 g/cm3.

The structure belongs to space group I4/mmm (No. 139); the cell edges are 4.4581, 4.4581 and 10.0761 Å and the angles 90.00°, 90.00° and 90.00°. The asymmetric unit holds K at (0.0000, 0.0000, 0.0000), Zn at (0.0000, 0.5000, 0.2500) and Cu at (0.0000, 0.0000, 0.3740).


Entry 26:
A plane-wave DFT calculation with PBE was carried out for KZn4Cu after structural relaxation.

The calculation puts the total energy at -1.5130 eV per atom. Its crystal system is cubic. The calculated density comes out at 5.53 g/cm3.

The structure belongs to space group F-43m (No. 216); the cell edges are 7.5937, 7.5937 and 7.5937 Å and the angles 90.00°, 90.00° and 90.00°. The asymmetric unit holds K at (0.0000, 0.0000, 0.0000), Zn at (0.1229, 0.1229, 0.6229) and Cu at (0.2500, 0.2500, 0.2500).


Entry 27:
A plane-wave DFT calculation with PBE was carried out for K2ZnCu2 after structural relaxation.

Its energy above the lowest structure with this stoichiometry is 14.2 meV per atom. Its crystal system is tetragonal. The calculated density comes out at 2.98 g/cm3.

The structure belongs to space group I4/mmm (No. 139); the cell edges are 6.4425, 6.4425 and 7.2730 Å and the angles 90.00°, 90.00° and 90.00°. The asymmetric unit holds K at (0.0000, 0.5000, 0.2500), Zn at (0.0000, 0.0000, 0.0000) and Cu at (0.0000, 0.0000, 0.3363).


Entry 28:
A plane-wave DFT calculation with PBE was carried out for K2ZnCu2 after structural relaxation.

Its energy above the lowest structure with this stoichiometry is 0.0 meV per atom. Its crystal system is tetragonal. The calculated density comes out at 3.60 g/cm3.

The structure belongs to space group P4/mbm (No. 127); the cell edges are 6.8208, 6.8208 and 5.3646 Å and the angles 90.00°, 90.00° and 90.00°. The asymmetric unit holds K at (0.1809, 0.3191, 0.0000), Zn at (0.0000, 0.0000, 0.5000) and Cu at (0.1293, 0.6293, 0.5000).